8
Lattice="-3.442 -0.654 -1.994 -3.207 -1.778 6.121 -0.719 6.921 -1.029" Properties=species:S:1:pos:R:3 comment="Tb2PmScSe4, relaxed, DFT PBE-GGA" crystal_system=monoclinic e_form_raw_ev_per_atom=-1.72 pbc="T T T"
Tb -2.080 3.134 -1.511
Tb -1.963 2.572 2.546
Pm -3.325 -1.216 2.064
Sc 0.000 0.000 0.000
Se -2.651 0.926 0.198
Se -4.717 3.563 2.899
Se -1.303 4.765 0.687
Se -2.623 0.378 4.404

4
Lattice="3.918 0.000 0.000 0.000 3.074 0.037 0.000 2.924 6.018" Properties=species:S:1:pos:R:3 comment="ZnFeHg2, relaxed, DFT PBE-GGA" formation_enthalpy_0k_mev_per_atom=387 crystal_system=monoclinic pbc="T T T"
Fe 1.959 4.499 4.542
Hg 0.000 2.976 5.980
Hg 0.000 2.947 3.066
Zn 1.959 1.500 1.514

4
Lattice="-1.020 -2.343 -1.533 2.763 -1.126 -0.117 -1.298 -4.182 7.257" Properties=species:S:1:pos:R:3 comment="CdOs2Br, relaxed, DFT PBE-GGA" de_polymorph_mev_per_atom=0 crystal_system=monoclinic e_form_raw_ev_per_atom=0.43 pbc="T T T"
Os -0.030 -0.132 0.222
Os 0.590 -2.620 0.715
Br 0.744 -2.489 3.310
Cd -0.126 -5.065 4.929

4
Lattice="-3.397 1.004 0.167 -2.525 -2.395 0.680 -0.952 1.320 10.360" Properties=species:S:1:pos:R:3 comment="TbHo2Zn, relaxed, DFT PBE-GGA" formation_enthalpy_0k_mev_per_atom=-67 de_polymorph_mev_per_atom=95 crystal_system=trigonal pbc="T T T"
Zn 0.000 0.000 0.000
Tb -3.437 -0.036 5.604
Ho -1.752 -0.075 2.476
Ho -5.123 0.004 8.732

4
Lattice="-4.779 7.314 -1.810 -5.887 6.657 0.801 -3.433 8.213 0.611" Properties=species:S:1:pos:R:3 comment="ZnCr2In, relaxed, DFT PBE-GGA" formation_enthalpy_0k_mev_per_atom=387 crystal_system=trigonal pbc="T T T"
Cr -13.947 21.945 -0.393
Cr -3.745 5.892 -0.106
In -7.149 11.248 -0.202
Zn -10.407 16.375 -0.294

5
Lattice="-3.666 -2.972 1.744 -0.617 -1.776 -4.323 3.382 -3.590 0.992" Properties=species:S:1:pos:R:3 comment="MnAg2HPd, relaxed, DFT PBE-GGA" crystal_system=tetragonal pbc="T T T"
H -0.450 -4.169 -0.793
Mn 0.000 0.000 0.000
Pd -0.308 -0.888 -2.162
Ag 1.691 -1.795 0.496
Ag -1.833 -1.486 0.872

Number 1: electronic total energy -6.01 eV/atom, total moment 0.0 μB per cell. Number 2: electronic total energy -2.20 eV/atom, total moment 2.7 μB per cell. Number 3: electronic total energy -5.83 eV/atom, total moment 0.0 μB per cell. Number 4: electronic total energy -3.83 eV/atom, total moment 0.0 μB per cell. Number 5: electronic total energy -5.43 eV/atom, total moment 0.0 μB per cell. Number 6: electronic total energy -3.37 eV/atom, total moment 5.4 μB per cell.